This record from Alexandria via LeMat-Bulk describes a relaxed La12Au3C5 crystal. The functional is GGA-PBE.

a b c (Å): 14.316 14.316 14.316
angles (deg): 109.47 109.47 109.47
Element x y z (fractional)
Au1 0.750 0.375 0.125
Au2 0.875 0.750 0.125
Au3 0.375 0.750 0.625
Au4 0.250 0.125 0.375
Au5 0.875 0.125 0.250
Au6 0.375 0.625 0.250
Au7 0.625 0.375 0.750
Au8 0.125 0.875 0.750
Au9 0.750 0.875 0.625
Au10 0.625 0.250 0.375
Au11 0.125 0.250 0.875
Au12 0.250 0.625 0.875
C1 0.125 0.375 0.250
C2 0.000 0.500 0.000
C3 0.000 0.000 0.000
C4 0.375 0.250 0.125
C5 0.500 0.000 0.500
C6 0.500 0.500 0.000
C7 0.125 0.750 0.375
C8 0.750 0.125 0.875
C9 0.750 0.625 0.375
C10 0.375 0.125 0.750
C11 0.625 0.875 0.250
C12 0.500 0.500 0.500
C13 0.500 0.000 0.000
C14 0.000 0.000 0.500
C15 0.250 0.375 0.625
C16 0.250 0.875 0.125
C17 0.000 0.500 0.500
C18 0.875 0.250 0.625
C19 0.625 0.750 0.875
C20 0.875 0.625 0.750
La1 0.703 0.116 0.022
La2 0.318 0.522 0.405
La3 0.978 0.384 0.297
La4 0.522 0.203 0.116
La5 0.587 0.703 0.682
La6 0.978 0.595 0.182
La7 0.318 0.797 0.413
La8 0.095 0.913 0.116
La9 0.595 0.978 0.682
La10 0.703 0.587 0.182
La11 0.797 0.478 0.384
La12 0.818 0.905 0.022
La13 0.116 0.703 0.522
La14 0.384 0.405 0.087
La15 0.087 0.905 0.384
La16 0.413 0.116 0.595
La17 0.087 0.182 0.203
La18 0.478 0.682 0.095
La19 0.818 0.913 0.297
La20 0.116 0.413 0.095
La21 0.384 0.978 0.797
La22 0.595 0.616 0.413
La23 0.905 0.818 0.522
La24 0.797 0.318 0.913
La25 0.405 0.384 0.587
La26 0.095 0.182 0.478
La27 0.203 0.682 0.087
La28 0.182 0.087 0.703
La29 0.616 0.022 0.203
La30 0.884 0.587 0.905
La31 0.522 0.318 0.905
La32 0.587 0.884 0.405
La33 0.913 0.818 0.797
La34 0.913 0.095 0.616
La35 0.884 0.297 0.478
La36 0.182 0.095 0.978
La37 0.616 0.595 0.913
La38 0.405 0.022 0.318
La39 0.297 0.413 0.818
La40 0.203 0.522 0.616
La41 0.905 0.087 0.884
La42 0.682 0.203 0.587
La43 0.478 0.797 0.884
La44 0.022 0.405 0.818
La45 0.413 0.297 0.318
La46 0.022 0.616 0.703
La47 0.682 0.478 0.595
La48 0.297 0.884 0.978

- energy of formation from the pure elements (kJ/mol of formula units) = -333
- space-group type = No. 230

This record from Alexandria via LeMat-Bulk describes a relaxed LaAu3C crystal. The functional is GGA-PBE.

a b c (Å): 5.785 5.785 5.785
angles (deg): 90.00 90.00 90.00
Element x y z (fractional)
C1 0.500 0.500 0.500
Au1 0.000 0.500 0.000
Au2 0.000 0.000 0.500
Au3 0.500 0.000 0.000
La1 0.000 0.000 0.000

- distance to the lowest polymorph of the same formula (meV/atom) = 1451
- energy of formation from the pure elements (kJ/mol of formula units) = 839
- space-group type = No. 221

This record from Alexandria via LeMat-Bulk describes a relaxed LaAu3C crystal. The functional is GGA-PBE.

a b c (Å): 4.601 4.601 4.601
angles (deg): 90.00 90.00 90.00
Element x y z (fractional)
C1 0.000 0.000 0.000
Au1 0.000 0.500 0.000
Au2 0.000 0.000 0.500
Au3 0.500 0.000 0.000
La1 0.500 0.500 0.500

- distance to the lowest polymorph of the same formula (meV/atom) = 0
- energy of formation from the pure elements (kJ/mol of formula units) = 138
- space-group type = No. 221

This record from Alexandria via LeMat-Bulk describes a relaxed La2AuC crystal. The functional is GGA-PBE.

a b c (Å): 7.248 7.248 6.558
angles (deg): 56.45 56.45 90.00
Element x y z (fractional)
C1 0.500 0.500 0.000
C2 0.250 0.750 0.500
Au1 0.000 0.000 0.000
Au2 0.750 0.250 0.500
La1 0.553 0.125 0.250
La2 0.197 0.625 0.250
La3 0.375 0.447 0.750
La4 0.875 0.803 0.750

- energy of formation from the pure elements (kJ/mol of formula units) = -98
- space-group type = No. 122

This record from Alexandria via LeMat-Bulk describes a relaxed LiLa2AuC crystal. The functional is GGA-PBE.

a b c (Å): 5.209 5.209 4.203
angles (deg): 90.00 90.00 90.00
Element x y z (fractional)
C1 0.000 0.000 0.000
Li1 0.000 0.000 0.500
Au1 0.500 0.500 0.500
La1 0.000 0.500 0.000
La2 0.500 0.000 0.000

- energy of formation from the pure elements (kJ/mol of formula units) = -120
- space-group type = No. 123

This record from Alexandria via LeMat-Bulk describes a relaxed LaMgAu2C crystal. The functional is GGA-PBE.

a b c (Å): 5.042 4.282 5.042
angles (deg): 90.00 90.00 90.00
Element x y z (fractional)
Mg1 0.000 0.000 0.000
Au1 0.000 0.000 0.500
Au2 0.500 0.000 0.000
C1 0.000 0.500 0.000
La1 0.500 0.500 0.500

- distance to the lowest polymorph of the same formula (meV/atom) = 0
- energy of formation from the pure elements (kJ/mol of formula units) = 211
- space-group type = No. 123

This record from Alexandria via LeMat-Bulk describes a relaxed La2MgAuC crystal. The functional is GGA-PBE.

a b c (Å): 5.278 5.278 4.302
angles (deg): 90.00 90.00 90.00
Element x y z (fractional)
Mg1 0.000 0.000 0.500
Au1 0.500 0.500 0.500
C1 0.000 0.000 0.000
La1 0.000 0.500 0.000
La2 0.500 0.000 0.000

- energy of formation from the pure elements (kJ/mol of formula units) = -133
- space-group type = No. 123

This record from Alexandria via LeMat-Bulk describes a relaxed LaMgAu2C crystal. The functional is GGA-PBE.

a b c (Å): 5.653 6.876 5.653
angles (deg): 90.00 90.00 90.00
Element x y z (fractional)
Mg1 0.000 0.500 0.000
Au1 0.000 0.000 0.500
Au2 0.500 0.000 0.000
C1 0.500 0.500 0.500
La1 0.000 0.000 0.000

- distance to the lowest polymorph of the same formula (meV/atom) = 1378
- energy of formation from the pure elements (kJ/mol of formula units) = 876
- space-group type = No. 123

Number 1: magnetic moment 0.0 μB per formula unit. Number 2: magnetic moment 2.0 μB per formula unit. Number 3: magnetic moment 0.0 μB per formula unit. Number 4: magnetic moment 0.0 μB per formula unit. Number 5: magnetic moment 0.0 μB per formula unit. Number 6: magnetic moment 0.0 μB per formula unit. Number 7: magnetic moment 0.0 μB per formula unit. Number 8: magnetic moment 2.9 μB per formula unit.